{
  "formula": "Li2FePb",
  "functional": "PBE",
  "state": "optimized geometry",
  "sg": "No. 12",
  "dft_energy_ev_per_cell": -15.12,
  "ef_kj_per_mol_fu": 85,
  "cell": [[4.952, -0.019, -0.060], [-2.238, 5.044, 0.039], [0.476, 0.913, 2.900]],
  "species": ["Fe", "Li", "Li", "Pb"],
  "frac_coords": [[0.500, 0.500, 0.000], [0.500, 0.000, 0.500], [0.000, 0.000, 0.000], [0.000, 0.500, 0.500]]
}